(1)
Sr2TcMo | the Alexandria database | PBE | optimized geometry; E above lowest polymorph = 99.6 kJ per mole of atoms; crystal system = cubic; space-group type = Fm-3m (225)
1.0
0.000 3.774 3.774
3.774 0.000 3.774
3.774 3.774 0.000
Mo Tc Sr
1 1 2
Cartesian
0.000 0.000 0.000
3.774 3.774 3.774
5.661 5.661 5.661
1.887 1.887 1.887

---

(2)
SrTcMo2 | the Alexandria database | PBE | optimized geometry; E above lowest polymorph = 30.4 kJ per mole of atoms; crystal system = orthorhombic; space-group type = Imm2 (44)
1.0
-4.314 0.494 -3.565
-0.133 -3.844 -4.095
-0.220 1.079 5.509
Mo Sr Tc
2 1 1
Cartesian
-0.029 -0.022 -0.050
-3.502 -0.143 -1.155
-2.206 -1.661 -3.799
-1.155 -2.119 -0.978

---

(3)
SrTcMo2 | the Alexandria database | PBE | optimized geometry; E above lowest polymorph = 5.7 kJ per mole of atoms; crystal system = monoclinic; space-group type = Pm (6)
1.0
4.182 0.000 0.000
0.000 2.997 0.002
0.000 1.496 6.775
Mo Tc Sr
2 1 1
Cartesian
0.000 1.498 6.734
2.091 1.009 1.112
2.091 3.474 5.667
0.000 2.254 3.426

---

(4)
SrTc3Mo | the Alexandria database | PBE | optimized geometry; E above lowest polymorph = 0.0 kJ per mole of atoms; crystal system = cubic; space-group type = Pm-3m (221)
1.0
-0.489 -1.462 -4.553
-3.531 -2.977 1.335
-3.226 3.480 -0.771
Sr Tc Mo
1 3 1
Cartesian
-3.623 -0.480 -1.995
-1.765 -1.488 0.667
-0.244 -0.731 -2.277
-1.613 1.740 -0.386
0.000 0.000 0.000

---

no.,size of the total moment (μB/cell),V (Å³/f.u.),E_tot (Ha/atom)
1,5.6,107.5,-0.174
2,0.0,76.6,-0.276
3,0.0,84.9,-0.285
4,2.5,111.1,-0.277